Record 1
Below is a PBEsol-optimized structure of Ba3HfCo, with properties calculated at the meta-GGA SCAN level.

## Properties
N(E_F), states/eV/atom: 1.60
Energy, eV/atom: -38.39

Cell lengths 6.0588, 6.0588, 6.0588 Å; angles 90.00, 90.00, 90.00 degrees
Space group Pm-3m (No. 221)
One atom of each set of equivalent atoms:
Ba  0.0000  0.0000  0.5000 [3 per cell]
Hf  0.0000  0.0000  0.0000 [1 per cell]
Co  0.5000  0.5000  0.5000 [1 per cell]

=====

Record 2
Below is a PBEsol-optimized structure of BaCoHg, with properties calculated at the meta-GGA SCAN level.

## Properties
N(E_F), states/eV/atom: 0.76
Energy, eV/atom: -41.63

Cell lengths 4.4585, 4.4585, 4.6236 Å; angles 90.00, 90.00, 120.00 degrees
Space group P-6m2 (No. 187)
One atom of each set of equivalent atoms:
Ba  0.0000  0.0000  0.0000 [1 per cell]
Co  0.3333  0.6667  0.5000 [1 per cell]
Hg  0.6667  0.3333  0.5000 [1 per cell]

=====

Record 3
Below is a PBEsol-optimized structure of BaHo2CoO5, with properties calculated at the meta-GGA SCAN level.

## Properties
Raw formation energy, eV per atom: -3.113
Energy, eV/atom: -23.78

Cell lengths 12.1168, 5.6517, 6.9593 Å; angles 90.00, 90.00, 90.00 degrees
Space group Pnma (No. 62)
One atom of each set of equivalent atoms:
Ba  0.1001  0.2500  0.0796 [4 per cell]
Ho  0.0755  0.7500  0.4044 [4 per cell]
Ho  0.2079  0.2500  0.6204 [4 per cell]
Co  0.1524  0.7500  0.8096 [4 per cell]
O  0.0641  0.5048  0.6703 [8 per cell]
O  0.1036  0.7500  0.0758 [4 per cell]
O  0.2249  0.0005  0.3625 [8 per cell]